(1)
Computed, not measured: an optimized crystal structure of Zr3AgAs5 at the GGA-PBE level of DFT.

abc: 6.2908 6.2908 6.2715
angles: 90.00 90.00 120.00
With the nearest neighbours (Å) after each atom.
Positions (direct):
1 Zr 0.0000 0.5000 0.0000  4 As 2.66
2 Zr 0.5000 0.0000 0.0000  4 As 2.66
3 Zr 0.5000 0.5000 0.0000  4 As 2.66
4 Ag 0.0000 0.0000 0.5000  2 As 3.14
5 As 0.0000 0.0000 0.0000  2 Ag 3.14, 6 Zr 3.15
6 As 0.3333 0.6667 0.3108  1 As 2.37
7 As 0.3333 0.6667 0.6892  1 As 2.37
8 As 0.6667 0.3333 0.3108  1 As 2.37
9 As 0.6667 0.3333 0.6892  1 As 2.37

Results
- calculated total energy (eV/atom) = -6.0061
- total magnetization (μB per cell) = 0.00

(2)
Computed, not measured: an optimized crystal structure of LaNpH2Cl4 at the GGA-PBE level of DFT.

abc: 3.9397 3.9397 13.2986
angles: 90.00 90.00 120.00
With the nearest neighbours (Å) after each atom.
Positions (direct):
1 La 0.0000 0.0000 0.0000  3 H 2.27
2 Np 0.0000 0.0000 0.5000  3 H 2.27
3 H 0.3333 0.6667 0.5000  3 Np 2.27
4 H 0.6667 0.3333 0.0000  3 La 2.27
5 Cl 0.3333 0.6667 0.1366  3 La 2.91, 3 H 2.91
6 Cl 0.3333 0.6667 0.8634  3 La 2.91, 3 H 2.91
7 Cl 0.6667 0.3333 0.3690  3 Np 2.86, 3 H 2.86
8 Cl 0.6667 0.3333 0.6310  3 Np 2.86, 3 H 2.86

Results
- calculated total energy (eV/atom) = -5.5325
- total magnetization (μB per cell) = 4.00

(3)
Computed, not measured: an optimized crystal structure of BaNd2Te3 at the GGA-PBE level of DFT.

abc: 4.6472 4.6472 11.3980
angles: 90.00 90.00 120.00
With the nearest neighbours (Å) after each atom.
Positions (direct):
1 Ba 0.0000 0.0000 0.0000  6 Te 3.45
2 Nd 0.3333 0.6667 0.6476  6 Te 3.17-3.26
3 Nd 0.6667 0.3333 0.3524  6 Te 3.17-3.26
4 Te 0.0000 0.0000 0.5000  6 Nd 3.17
5 Te 0.3333 0.6667 0.1906  3 Nd 3.26, 3 Ba 3.45
6 Te 0.6667 0.3333 0.8094  3 Nd 3.26, 3 Ba 3.45

Results
- calculated total energy (eV/atom) = -5.0151
- total magnetization (μB per cell) = 0.01

(4)
Computed, not measured: an optimized crystal structure of Ta2HgBi at the GGA-PBE level of DFT.

abc: 4.9767 4.9767 4.9767
angles: 60.00 60.00 60.00
With the nearest neighbours (Å) after each atom.
Positions (direct):
1 Ta 0.0000 0.0000 0.0000  4 Hg 3.05, 4 Ta 3.05
2 Ta 0.2500 0.2500 0.2500  4 Ta 3.05, 4 Bi 3.05
3 Hg 0.7500 0.7500 0.7500  4 Bi 3.05, 4 Ta 3.05
4 Bi 0.5000 0.5000 0.5000  4 Hg 3.05, 4 Ta 3.05

Results
- calculated total energy (eV/atom) = -6.1855
- total magnetization (μB per cell) = 0.01

(5)
Computed, not measured: an optimized crystal structure of Zr4Sb2AsC at the GGA-PBE level of DFT.

abc: 3.6687 3.6687 13.9193
angles: 90.00 90.00 120.00
With the nearest neighbours (Å) after each atom.
Positions (direct):
1 Zr 0.3333 0.6667 0.0849  3 C 2.43
2 Zr 0.3333 0.6667 0.3854  3 As 2.65, 3 Sb 2.94
3 Zr 0.6667 0.3333 0.6146  3 As 2.65, 3 Sb 2.94
4 Zr 0.6667 0.3333 0.9151  3 C 2.43
5 Sb 0.3333 0.6667 0.7615  6 Zr 2.94-3.01
6 Sb 0.6667 0.3333 0.2385  6 Zr 2.94-3.01
7 As 0.0000 0.0000 0.5000  6 Zr 2.65
8 C 0.0000 0.0000 0.0000  6 Zr 2.43

Results
- calculated total energy (eV/atom) = -7.8307
- total magnetization (μB per cell) = 0.00

(6)
Computed, not measured: an optimized crystal structure of RbTcTe3Au at the GGA-PBE level of DFT.

abc: 8.5426 8.5426 10.8282
angles: 90.00 90.00 152.93
With the nearest neighbours (Å) after each atom.
Positions (direct):
1 Rb 0.2375 0.7625 0.7500  2 Au 3.64, 8 Te 3.77-3.87, 2 Rb 4.00
2 Rb 0.7625 0.2375 0.2500  2 Au 3.64, 8 Te 3.77-3.87, 2 Rb 4.00
3 Tc 0.0000 0.0000 0.0000  6 Te 2.78-2.90
4 Tc 0.0000 0.0000 0.5000  6 Te 2.78-2.90
5 Te 0.0634 0.9366 0.2500  2 Au 2.80, 2 Tc 2.90
6 Te 0.3841 0.6159 0.0209  1 Au 2.68, 2 Tc 2.78
7 Te 0.3841 0.6159 0.4791  1 Au 2.68, 2 Tc 2.78
8 Te 0.6159 0.3841 0.5209  1 Au 2.68, 2 Tc 2.78
9 Te 0.6159 0.3841 0.9791  1 Au 2.68, 2 Tc 2.78
10 Te 0.9366 0.0634 0.7500  2 Au 2.80, 2 Tc 2.90
11 Au 0.4457 0.5543 0.2500  4 Te 2.68-2.80
12 Au 0.5543 0.4457 0.7500  4 Te 2.68-2.80

Results
- calculated total energy (eV/atom) = -4.1785
- total magnetization (μB per cell) = 4.55